An optimized crystal structure of TbY2ErN4. Source: the Alexandria database, functional GGA-PBE.

Results
Total magnetization ... 0.00 Bohr magnetons per cell
Calculated total energy ... -8.63 eV per atom
Formation energy without anion corrections ... -1.71 eV/atom

```
TbY2ErN4
1.0
3.472 0.000 0.000
0.000 6.010 0.106
0.000 -2.102 5.632
Tb Y Er N
1 2 1 4
direct
0.500 0.500 0.000 Tb
0.500 0.000 0.500 Y
0.000 0.500 0.500 Y
0.000 0.000 0.000 Er
0.500 0.247 0.248 N
0.500 0.753 0.752 N
0.000 0.248 0.751 N
0.000 0.752 0.249 N
```